Entry one
# Zr2Co2Au, optimized geometry, DFT PBE
# **Theoretical density**: 10.084 g/cm³
data_Zr2Co2Au
_chemical_formula_sum 'Zr4 Co4 Au2'
_space_group_name_H-M_alt 'P 4/m b m'
_space_group_IT_number 127
_space_group_name_Hall '-P 4 2ab'
_cell_length_a 7.0482
_cell_length_b 7.0482
_cell_length_c 3.2969
_cell_angle_alpha 90.00
_cell_angle_beta 90.00
_cell_angle_gamma 90.00
loop_
_atom_site_label
_atom_site_type_symbol
_atom_site_fract_x
_atom_site_fract_y
_atom_site_fract_z
Zr1 Zr 0.1682 0.3318 0.0000
Co1 Co 0.1302 0.6302 0.5000
Au1 Au 0.0000 0.0000 0.5000



Entry two
# Zr2Co2Au, optimized geometry, DFT PBE
# **Theoretical density**: 9.243 g/cm³
data_Zr2Co2Au
_chemical_formula_sum 'Zr4 Co4 Au2'
_space_group_name_H-M_alt 'I 4/m m m'
_space_group_IT_number 139
_space_group_name_Hall '-I 4 2'
_cell_length_a 3.5271
_cell_length_b 3.5271
_cell_length_c 14.3632
_cell_angle_alpha 90.00
_cell_angle_beta 90.00
_cell_angle_gamma 90.00
loop_
_atom_site_label
_atom_site_type_symbol
_atom_site_fract_x
_atom_site_fract_y
_atom_site_fract_z
Zr1 Zr 0.0000 0.0000 0.1210
Co1 Co 0.0000 0.5000 0.2500
Au1 Au 0.0000 0.0000 0.5000



Which structure is the most stable? The one labeled entry one.



Entry one
# Cr5Au, optimized geometry, DFT PBE
# **Theoretical density**: 9.284 g/cm³
data_Cr5Au
_chemical_formula_sum 'Cr10 Au2'
_space_group_name_H-M_alt 'C m m m'
_space_group_IT_number 65
_space_group_name_Hall '-C 2 2'
_cell_length_a 4.2592
_cell_length_b 12.5037
_cell_length_c 3.0693
_cell_angle_alpha 90.00
_cell_angle_beta 90.00
_cell_angle_gamma 90.00
loop_
_atom_site_label
_atom_site_type_symbol
_atom_site_fract_x
_atom_site_fract_y
_atom_site_fract_z
Cr1 Cr 0.0000 0.0000 0.0000
Cr2 Cr 0.0000 0.1659 0.5000
Cr3 Cr 0.0000 0.3210 0.0000
Au1 Au 0.0000 0.5000 0.5000



Entry two
# Cr5Au, optimized geometry, DFT PBE
# **Theoretical density**: 9.946 g/cm³
data_Cr5Au
_chemical_formula_sum 'Cr20 Au4'
_space_group_name_H-M_alt 'F -4 3 m'
_space_group_IT_number 216
_space_group_name_Hall 'F -4 2 3'
_cell_length_a 6.7324
_cell_length_b 6.7324
_cell_length_c 6.7324
_cell_angle_alpha 90.00
_cell_angle_beta 90.00
_cell_angle_gamma 90.00
loop_
_atom_site_label
_atom_site_type_symbol
_atom_site_fract_x
_atom_site_fract_y
_atom_site_fract_z
Cr1 Cr 0.0000 0.0000 0.0000
Cr2 Cr 0.1255 0.1255 0.3745
Au1 Au 0.2500 0.2500 0.7500



Which structure is the most stable? The one labeled entry one.